Entry from Alexandria via LeMat-Bulk: crystalline CsCoPdO2 at its relaxed geometry (PBE with a Hubbard U).

```
10
Lattice="6.471 0.000 0.000 0.000 4.703 0.000 -1.439 0.000 6.505" Properties=species:S:1:pos:R:3 pbc="T T T"
Cs -0.360 1.140 1.626
Cs -1.079 3.563 4.879
Co 3.236 2.352 0.000
Co 2.516 2.352 3.253
Pd 2.157 0.551 4.879
Pd 2.876 4.153 1.626
O 0.689 0.954 6.324
O 1.408 3.749 3.071
O 3.624 0.954 3.434
O 4.344 3.749 0.182
```

Calculated values
The volume comes out at 198.00 Å³ per cell. The total energy comes out at -24.39 eV per formula unit.